(1)
A relaxed structure of K2ReTc. Source: Alexandria via LeMat-Bulk, functional GGA-PBE.

The structure in CIF format:
```
data_K2ReTc
_chemical_formula_sum 'K2 Re1 Tc1'
_symmetry_space_group_name_H-M 'P 1 2/m 1'
_symmetry_Int_Tables_number 10
_symmetry_space_group_name_Hall '-P 2y'
_cell_length_a 2.696
_cell_length_b 5.948
_cell_length_c 5.221
_cell_angle_alpha 90.00
_cell_angle_beta 101.51
_cell_angle_gamma 90.00
loop_
_atom_site_label
_atom_site_type_symbol
_atom_site_fract_x
_atom_site_fract_y
_atom_site_fract_z
K1 K 0.244 0.000 0.251
Re1 Re 0.500 0.500 0.000
Tc1 Tc 0.000 0.500 0.500
```

**E above lowest polymorph**: 2.33 eV/f.u.
**Final energy**: -19.4 eV per cell

(2)
A relaxed structure of K2ReTc. Source: Alexandria via LeMat-Bulk, functional GGA-PBE.

The structure in CIF format:
```
data_K2ReTc
_chemical_formula_sum 'K8 Re4 Tc4'
_symmetry_space_group_name_H-M 'F -4 3 m'
_symmetry_Int_Tables_number 216
_symmetry_space_group_name_Hall 'F -4 2 3'
_cell_length_a 6.901
_cell_length_b 6.901
_cell_length_c 6.901
_cell_angle_alpha 90.00
_cell_angle_beta 90.00
_cell_angle_gamma 90.00
loop_
_atom_site_label
_atom_site_type_symbol
_atom_site_fract_x
_atom_site_fract_y
_atom_site_fract_z
K1 K 0.000 0.000 0.000
K2 K 0.250 0.250 0.250
Re1 Re 0.000 0.000 0.500
Tc1 Tc 0.250 0.250 0.750
```

**E above lowest polymorph**: 4.02 eV/f.u.
**Final energy**: -71.0 eV per cell

(3)
A relaxed structure of K2ReTc. Source: Alexandria via LeMat-Bulk, functional GGA-PBE.

The structure in CIF format:
```
data_K2ReTc
_chemical_formula_sum 'K2 Re1 Tc1'
_symmetry_space_group_name_H-M 'P 1 m 1'
_symmetry_Int_Tables_number 6
_symmetry_space_group_name_Hall 'P -2y'
_cell_length_a 3.015
_cell_length_b 3.742
_cell_length_c 10.582
_cell_angle_alpha 90.00
_cell_angle_beta 95.39
_cell_angle_gamma 90.00
loop_
_atom_site_label
_atom_site_type_symbol
_atom_site_fract_x
_atom_site_fract_y
_atom_site_fract_z
K1 K 0.000 0.000 0.000
K2 K 0.468 0.500 0.416
Re1 Re 0.015 0.000 0.664
Tc1 Tc 0.458 0.500 0.751
```

**E above lowest polymorph**: 0.00 eV/f.u.
**Final energy**: -21.8 eV per cell

(4)
A relaxed structure of KRe4Tc. Source: Alexandria via LeMat-Bulk, functional GGA-PBE.

The structure in CIF format:
```
data_KRe4Tc
_chemical_formula_sum 'K4 Re16 Tc4'
_symmetry_space_group_name_H-M 'F -4 3 m'
_symmetry_Int_Tables_number 216
_symmetry_space_group_name_Hall 'F -4 2 3'
_cell_length_a 7.471
_cell_length_b 7.471
_cell_length_c 7.471
_cell_angle_alpha 90.00
_cell_angle_beta 90.00
_cell_angle_gamma 90.00
loop_
_atom_site_label
_atom_site_type_symbol
_atom_site_fract_x
_atom_site_fract_y
_atom_site_fract_z
K1 K 0.000 0.000 0.000
Re1 Re 0.125 0.125 0.625
Tc1 Tc 0.250 0.250 0.250
```

**Final energy**: -220.3 eV per cell

(5)
A relaxed structure of K2ReTc. Source: Alexandria via LeMat-Bulk, functional GGA-PBE.

The structure in CIF format:
```
data_K2ReTc
_chemical_formula_sum 'K4 Re2 Tc2'
_symmetry_space_group_name_H-M 'C m m 2'
_symmetry_Int_Tables_number 35
_symmetry_space_group_name_Hall 'C 2 -2'
_cell_length_a 3.172
_cell_length_b 4.846
_cell_length_c 12.046
_cell_angle_alpha 90.00
_cell_angle_beta 90.00
_cell_angle_gamma 90.00
loop_
_atom_site_label
_atom_site_type_symbol
_atom_site_fract_x
_atom_site_fract_y
_atom_site_fract_z
K1 K 0.000 0.000 0.000
K2 K 0.000 0.500 0.351
Re1 Re 0.000 0.500 0.756
Tc1 Tc 0.000 0.000 0.592
```

**E above lowest polymorph**: 1.38 eV/f.u.
**Final energy**: -40.8 eV per cell

(6)
A relaxed structure of K2ReTc. Source: Alexandria via LeMat-Bulk, functional GGA-PBE.

The structure in CIF format:
```
data_K2ReTc
_chemical_formula_sum 'K4 Re2 Tc2'
_symmetry_space_group_name_H-M 'I m m 2'
_symmetry_Int_Tables_number 44
_symmetry_space_group_name_Hall 'I 2 -2'
_cell_length_a 3.583
_cell_length_b 6.100
_cell_length_c 11.332
_cell_angle_alpha 90.00
_cell_angle_beta 90.00
_cell_angle_gamma 90.00
loop_
_atom_site_label
_atom_site_type_symbol
_atom_site_fract_x
_atom_site_fract_y
_atom_site_fract_z
K1 K 0.000 0.000 0.000
K2 K 0.000 0.500 0.212
Re1 Re 0.000 0.500 0.793
Tc1 Tc 0.000 0.000 0.418
```

**E above lowest polymorph**: 1.21 eV/f.u.
**Final energy**: -41.1 eV per cell

no.,magnetic moment (μB/f.u.),calculated formation energy (eV/atom)
1,0.0,1.40
2,0.0,1.82
3,0.0,0.81
4,0.0,1.03
5,0.0,1.16
6,0.0,1.11